The following is a DFT calculation (GGA-PBE) of a geometry-optimized HfBeSi structure.

M_tot: 0.000 μB per atom
energy above the most stable polymorph in this dataset: 0.2448 eV per atom

The structure in POSCAR format:
```
HfBeSi
1.0
-4.691 0.188 4.447
2.657 -5.657 -1.659
2.484 0.403 2.603
Be Hf Si
3 3 3
Direct
0.259 0.000 0.000
0.000 0.259 0.000
0.741 0.741 0.000
0.000 0.606 0.500
0.606 0.000 0.500
0.394 0.394 0.500
0.000 0.000 0.500
0.667 0.333 0.000
0.333 0.667 0.000
```